Record 1
Entry from the Alexandria database: Co4Sn3Ge2 after structural relaxation (GGA-PBE).

Output
Energy of formation from the pure elements in eV/f.u.: 0.34

a = 7.4404 Å, b = 6.3724 Å, c = 6.3724 Å
α = 90.59°, β = 97.76°, γ = 97.76°
Each line ends with the local moment (μB).
Sites, in units of the cell vectors:
Co (0.5322, 0.9991, 0.2977)  0.54
Co (0.9678, 0.7023, 0.0009)  0.54
Co (0.4678, 0.0009, 0.7023)  0.54
Co (0.0322, 0.2977, 0.9991)  0.54
Co (0.0668, 0.3307, 0.4807)  0.21
Co (0.4332, 0.5193, 0.6693)  0.21
Co (0.9332, 0.6693, 0.5193)  0.21
Co (0.5668, 0.4807, 0.3307)  0.21
Sn (0.9118, 0.9989, 0.2563)  -0.01
Sn (0.5882, 0.7437, 0.0011)  -0.01
Sn (0.0882, 0.0011, 0.7437)  -0.01
Sn (0.4118, 0.2563, 0.9989)  -0.01
Sn (0.2500, 0.6866, 0.3134)  -0.01
Sn (0.7500, 0.3134, 0.6866)  -0.01
Ge (0.3371, 0.2105, 0.4358)  -0.01
Ge (0.1629, 0.5642, 0.7895)  -0.01
Ge (0.6629, 0.7895, 0.5642)  -0.01
Ge (0.8371, 0.4358, 0.2105)  -0.01

Record 2
Entry from the Alexandria database: CoSn3Ge after structural relaxation (GGA-PBE).

Output
Offset from the most stable computed form in meV/atom: 832.6
Energy of formation from the pure elements in eV/f.u.: 5.33

a = 5.2869 Å, b = 5.2869 Å, c = 5.2869 Å
α = 90.00°, β = 90.00°, γ = 90.00°
Each line ends with the local moment (μB).
Sites, in units of the cell vectors:
Ge (0.0000, 0.0000, 0.0000)  0.00
Co (0.5000, 0.5000, 0.5000)  2.08
Sn (0.0000, 0.5000, 0.0000)  -0.02
Sn (0.0000, 0.0000, 0.5000)  -0.01
Sn (0.5000, 0.0000, 0.0000)  0.00

Record 3
Entry from the Alexandria database: CoSn2Ge after structural relaxation (GGA-PBE).

Output
Energy of formation from the pure elements in eV/f.u.: 1.56

a = 4.9822 Å, b = 4.9822 Å, c = 8.5732 Å
α = 73.11°, β = 73.11°, γ = 90.00°
Each line ends with the local moment (μB).
Sites, in units of the cell vectors:
Ge (0.0000, 0.0000, 0.0000)  0.01
Ge (0.7500, 0.2500, 0.5000)  0.01
Co (0.5000, 0.5000, 0.0000)  1.03
Co (0.2500, 0.7500, 0.5000)  1.02
Sn (0.5674, 0.1250, 0.2500)  -0.02
Sn (0.1826, 0.6250, 0.2500)  -0.02
Sn (0.3750, 0.4326, 0.7500)  -0.02
Sn (0.8750, 0.8174, 0.7500)  -0.02

Record 4
Entry from the Alexandria database: Co2SnGe after structural relaxation (GGA-PBE).

Output
Offset from the most stable computed form in meV/atom: 233.7
Energy of formation from the pure elements in eV/f.u.: 0.40

a = 4.3078 Å, b = 4.3078 Å, c = 4.3078 Å
α = 60.00°, β = 60.00°, γ = 60.00°
Each line ends with the local moment (μB).
Sites, in units of the cell vectors:
Ge (0.0000, 0.0000, 0.0000)  0.01
Co (0.2500, 0.2500, 0.2500)  0.78
Co (0.7500, 0.7500, 0.7500)  0.78
Sn (0.5000, 0.5000, 0.5000)  -0.02

Record 5
Entry from the Alexandria database: CoSn2Ge2 after structural relaxation (GGA-PBE).

Output
Energy of formation from the pure elements in eV/f.u.: 0.85

a = 6.3086 Å, b = 6.3086 Å, c = 5.0647 Å
α = 90.00°, β = 90.00°, γ = 90.00°
Sites, in units of the cell vectors:
Ge (0.3515, 0.8515, 0.0000)
Ge (0.8515, 0.6485, 0.0000)
Ge (0.6485, 0.1485, 0.0000)
Ge (0.1485, 0.3515, 0.0000)
Co (0.0000, 0.0000, 0.0000)
Co (0.5000, 0.5000, 0.0000)
Sn (0.1790, 0.6790, 0.5000)
Sn (0.6790, 0.8210, 0.5000)
Sn (0.8210, 0.3210, 0.5000)
Sn (0.3210, 0.1790, 0.5000)

Record 6
Entry from the Alexandria database: Co3SnGe after structural relaxation (GGA-PBE).

Output
Offset from the most stable computed form in meV/atom: 0.0
Energy of formation from the pure elements in eV/f.u.: 2.98

a = 4.3317 Å, b = 4.3317 Å, c = 4.3317 Å
α = 90.00°, β = 90.00°, γ = 90.00°
Each line ends with the local moment (μB).
Sites, in units of the cell vectors:
Ge (0.0000, 0.0000, 0.0000)  -0.06
Co (0.0000, 0.5000, 0.0000)  0.98
Co (0.0000, 0.0000, 0.5000)  0.90
Co (0.5000, 0.0000, 0.0000)  1.07
Sn (0.5000, 0.5000, 0.5000)  0.01

Record 7
Entry from the Alexandria database: CoSn3Ge after structural relaxation (GGA-PBE).

Output
Offset from the most stable computed form in meV/atom: 0.0
Energy of formation from the pure elements in eV/f.u.: 1.16

a = 4.9262 Å, b = 4.9262 Å, c = 4.9262 Å
α = 90.00°, β = 90.00°, γ = 90.00°
Sites, in units of the cell vectors:
Ge (0.5000, 0.5000, 0.5000)
Co (0.0000, 0.0000, 0.0000)
Sn (0.0000, 0.5000, 0.0000)
Sn (0.0000, 0.0000, 0.5000)
Sn (0.5000, 0.0000, 0.0000)

Record 8
Entry from the Alexandria database: Co3SnGe after structural relaxation (GGA-PBE).

Output
Offset from the most stable computed form in meV/atom: 767.4
Energy of formation from the pure elements in eV/f.u.: 6.82

a = 4.6771 Å, b = 4.6771 Å, c = 4.6771 Å
α = 90.00°, β = 90.00°, γ = 90.00°
Each line ends with the local moment (μB).
Sites, in units of the cell vectors:
Ge (0.5000, 0.5000, 0.5000)  -0.04
Co (0.0000, 0.5000, 0.0000)  1.40
Co (0.0000, 0.0000, 0.5000)  1.28
Co (0.5000, 0.0000, 0.0000)  1.44
Sn (0.0000, 0.0000, 0.0000)  -0.08

Record 9
Entry from the Alexandria database: Co2SnGe after structural relaxation (GGA-PBE).

Output
Offset from the most stable computed form in meV/atom: 718.1
Energy of formation from the pure elements in eV/f.u.: 2.34

a = 5.4968 Å, b = 5.4968 Å, c = 6.6925 Å
α = 65.75°, β = 65.75°, γ = 90.00°
Sites, in units of the cell vectors:
Ge (0.5000, 0.5000, 0.0000)
Ge (0.2500, 0.7500, 0.5000)
Co (0.5880, 0.1250, 0.2500)
Co (0.1620, 0.6250, 0.2500)
Co (0.3750, 0.4120, 0.7500)
Co (0.8750, 0.8380, 0.7500)
Sn (0.0000, 0.0000, 0.0000)
Sn (0.7500, 0.2500, 0.5000)

Record 10
Entry from the Alexandria database: CoSnGe2 after structural relaxation (GGA-PBE).

Output
Energy of formation from the pure elements in eV/f.u.: 0.28

a = 3.2279 Å, b = 3.2279 Å, c = 8.6827 Å
α = 79.29°, β = 79.29°, γ = 60.00°
Sites, in units of the cell vectors:
Ge (0.1083, 0.1083, 0.6750)
Ge (0.8917, 0.8917, 0.3250)
Co (0.5000, 0.5000, 0.5000)
Sn (0.0000, 0.0000, 0.0000)

Record 11
Entry from the Alexandria database: Co2SnGe after structural relaxation (GGA-PBE).

Output
Offset from the most stable computed form in meV/atom: 144.7
Energy of formation from the pure elements in eV/f.u.: 0.05

a = 3.8010 Å, b = 3.8010 Å, c = 5.3635 Å
α = 69.25°, β = 69.25°, γ = 60.00°
Sites, in units of the cell vectors:
Co (0.0633, 0.0633, 0.8100)
Co (0.2700, 0.2700, 0.1901)
Sn (0.4918, 0.4918, 0.5245)
Ge (0.6749, 0.6749, 0.9754)

Record 12
Entry from the Alexandria database: TaCoSn2Ge after structural relaxation (GGA-PBE).

Output
Energy of formation from the pure elements in eV/f.u.: 7.24

a = 5.1520 Å, b = 5.1520 Å, c = 4.8341 Å
α = 90.00°, β = 90.00°, γ = 90.00°
Each line ends with the local moment (μB).
Sites, in units of the cell vectors:
Ge (0.0000, 0.0000, 0.0000)  0.01
Co (0.5000, 0.5000, 0.5000)  1.97
Sn (0.0000, 0.5000, 0.0000)  -0.01
Sn (0.5000, 0.0000, 0.0000)  -0.01
Ta (0.0000, 0.0000, 0.5000)  0.00

Record 13
Entry from the Alexandria database: CoSn2GeTe after structural relaxation (GGA-PBE).

Output
Formation energy (no corrections) in meV per atom: -61

a = 5.1080 Å, b = 5.1080 Å, c = 4.4872 Å
α = 90.00°, β = 90.00°, γ = 90.00°
Sites, in units of the cell vectors:
Ge (0.0000, 0.0000, 0.5000)
Te (0.5000, 0.5000, 0.5000)
Co (0.0000, 0.0000, 0.0000)
Sn (0.0000, 0.5000, 0.0000)
Sn (0.5000, 0.0000, 0.0000)

Record 14
Entry from the Alexandria database: Th2Co4SnGe3 after structural relaxation (GGA-PBE).

Output
Energy of formation from the pure elements in eV/f.u.: -5.32

a = 4.1844 Å, b = 4.1844 Å, c = 9.9023 Å
α = 90.00°, β = 90.00°, γ = 90.00°
Each line ends with the local moment (μB).
Sites, in units of the cell vectors:
Th (0.5000, 0.0000, 0.2372)  -0.01
Th (0.0000, 0.5000, 0.7628)  -0.01
Co (0.5000, 0.5000, 0.0000)  0.49
Co (0.0000, 0.0000, 0.0000)  0.49
Co (0.5000, 0.0000, 0.6420)  -0.03
Co (0.0000, 0.5000, 0.3580)  -0.03
Sn (0.5000, 0.5000, 0.5000)  0.00
Ge (0.0000, 0.0000, 0.5000)  0.00
Ge (0.5000, 0.0000, 0.8783)  -0.01
Ge (0.0000, 0.5000, 0.1217)  -0.01

Record 15
Entry from the Alexandria database: TlCoSn2Ge after structural relaxation (GGA-PBE).

Output
Energy of formation from the pure elements in eV/f.u.: 0.49

a = 5.1074 Å, b = 5.1074 Å, c = 4.5335 Å
α = 90.00°, β = 90.00°, γ = 90.00°
Sites, in units of the cell vectors:
Co (0.0000, 0.0000, 0.0000)
Tl (0.5000, 0.5000, 0.5000)
Ge (0.0000, 0.0000, 0.5000)
Sn (0.0000, 0.5000, 0.0000)
Sn (0.5000, 0.0000, 0.0000)

Record 16
Entry from the Alexandria database: TlCo2SnGe after structural relaxation (GGA-PBE).

Output
Energy of formation from the pure elements in eV/f.u.: 6.61

a = 4.8714 Å, b = 5.2244 Å, c = 4.8714 Å
α = 90.00°, β = 90.00°, γ = 90.00°
Each line ends with the local moment (μB).
Sites, in units of the cell vectors:
Co (0.0000, 0.0000, 0.5000)  1.65
Co (0.5000, 0.0000, 0.0000)  1.73
Tl (0.0000, 0.0000, 0.0000)  -0.06
Ge (0.0000, 0.5000, 0.0000)  0.05
Sn (0.5000, 0.5000, 0.5000)  -0.07

Record 17
Entry from the Alexandria database: Tm2Co2Sn2Ge after structural relaxation (GGA-PBE).

Output
Energy of formation from the pure elements in eV/f.u.: -1.59

a = 4.3717 Å, b = 4.3717 Å, c = 8.1828 Å
α = 105.49°, β = 105.49°, γ = 90.00°
Each line ends with the local moment (μB).
Sites, in units of the cell vectors:
Tm (0.1827, 0.1827, 0.3654)  0.00
Tm (0.8173, 0.8173, 0.6346)  0.00
Co (0.0000, 0.5000, 0.0000)  0.07
Co (0.5000, 0.0000, 0.0000)  0.07
Sn (0.3880, 0.3880, 0.7759)  0.00
Sn (0.6120, 0.6120, 0.2241)  0.00
Ge (0.0000, 0.0000, 0.0000)  0.00

Record 18
Entry from the Alexandria database: UCo2SnGe2 after structural relaxation (GGA-PBE).

Output
Energy of formation from the pure elements in eV/f.u.: -0.65

a = 4.2558 Å, b = 4.2558 Å, c = 6.5854 Å
α = 90.00°, β = 90.00°, γ = 120.00°
Each line ends with the local moment (μB).
Sites, in units of the cell vectors:
U (0.0000, 0.0000, 0.5000)  -0.61
Co (0.3333, 0.6667, 0.2778)  0.14
Co (0.6667, 0.3333, 0.7222)  0.14
Sn (0.0000, 0.0000, 0.0000)  0.00
Ge (0.3333, 0.6667, 0.7220)  0.00
Ge (0.6667, 0.3333, 0.2780)  0.00

Record 19
Entry from the Alexandria database: SrCoGe after structural relaxation (GGA-PBE).

Output
Energy of formation from the pure elements in eV/f.u.: -0.77

a = 4.6950 Å, b = 4.0657 Å, c = 4.0657 Å
α = 120.00°, β = 90.00°, γ = 90.00°
Sites, in units of the cell vectors:
Sr (0.6667, 0.3333, 0.6667)
Ge (0.1668, 0.0000, 0.0000)
Co (0.1665, 0.6667, 0.3333)

Record 20
Entry from the Alexandria database: SrCo2Ge after structural relaxation (GGA-PBE).

Output
Energy of formation from the pure elements in eV/f.u.: 0.35

a = 4.6704 Å, b = 4.6704 Å, c = 8.7043 Å
α = 74.44°, β = 74.44°, γ = 90.00°
Each line ends with the local moment (μB).
Sites, in units of the cell vectors:
Sr (0.0000, 0.0000, 0.0000)  -0.04
Sr (0.7500, 0.2500, 0.5000)  -0.04
Ge (0.5000, 0.5000, 0.0000)  -0.02
Ge (0.2500, 0.7500, 0.5000)  -0.02
Co (0.3751, 0.1250, 0.2500)  1.30
Co (0.3749, 0.6250, 0.2500)  1.32
Co (0.3750, 0.6249, 0.7500)  1.01
Co (0.8750, 0.6251, 0.7500)  1.03

Record 21
Entry from the Alexandria database: SrCo4Ge12 after structural relaxation (GGA-PBE).

Output
Energy of formation from the pure elements in eV/f.u.: -1.22

a = 7.3330 Å, b = 7.3330 Å, c = 7.3330 Å
α = 109.47°, β = 109.47°, γ = 109.47°
Sites, in units of the cell vectors:
Sr (0.0000, 0.0000, 0.0000)
Co (0.0000, 0.5000, 0.0000)
Co (0.5000, 0.0000, 0.0000)
Co (0.5000, 0.5000, 0.5000)
Co (0.0000, 0.0000, 0.5000)
Ge (0.8270, 0.3457, 0.1727)
Ge (0.3457, 0.5188, 0.1730)
Ge (0.8273, 0.1730, 0.6543)
Ge (0.3457, 0.1727, 0.8270)
Ge (0.1727, 0.8270, 0.3457)
Ge (0.6543, 0.4812, 0.8270)
Ge (0.5188, 0.1730, 0.3457)
Ge (0.4812, 0.8270, 0.6543)
Ge (0.6543, 0.8273, 0.1730)
Ge (0.8270, 0.6543, 0.4812)
Ge (0.1730, 0.3457, 0.5188)
Ge (0.1730, 0.6543, 0.8273)

Record 22
Entry from the Alexandria database: Sr3CoGe after structural relaxation (GGA-PBE).

Output
Energy of formation from the pure elements in eV/f.u.: 1.20

a = 5.5283 Å, b = 5.5283 Å, c = 5.5283 Å
α = 90.00°, β = 90.00°, γ = 90.00°
Each line ends with the local moment (μB).
Sites, in units of the cell vectors:
Sr (0.0000, 0.5000, 0.0000)  -0.02
Sr (0.0000, 0.0000, 0.5000)  -0.03
Sr (0.5000, 0.0000, 0.0000)  -0.01
Ge (0.5000, 0.5000, 0.5000)  0.22
Co (0.0000, 0.0000, 0.0000)  0.62

Record 23
Entry from the Alexandria database: SrCo3Ge after structural relaxation (GGA-PBE).

Output
Offset from the most stable computed form in meV/atom: 0.0
Energy of formation from the pure elements in eV/f.u.: 2.17

a = 4.5390 Å, b = 4.5390 Å, c = 4.5390 Å
α = 90.00°, β = 90.00°, γ = 90.00°
Each line ends with the local moment (μB).
Sites, in units of the cell vectors:
Sr (0.5000, 0.5000, 0.5000)  -0.07
Ge (0.0000, 0.0000, 0.0000)  -0.06
Co (0.0000, 0.5000, 0.0000)  1.30
Co (0.0000, 0.0000, 0.5000)  1.16
Co (0.5000, 0.0000, 0.0000)  1.34

Record 24
Entry from the Alexandria database: SrCo3Ge after structural relaxation (GGA-PBE).

Output
Offset from the most stable computed form in meV/atom: 1719.3
Energy of formation from the pure elements in eV/f.u.: 10.76

a = 4.7148 Å, b = 4.7148 Å, c = 4.7148 Å
α = 90.00°, β = 90.00°, γ = 90.00°
Each line ends with the local moment (μB).
Sites, in units of the cell vectors:
Sr (0.0000, 0.0000, 0.0000)  -0.13
Ge (0.5000, 0.5000, 0.5000)  -0.04
Co (0.0000, 0.5000, 0.0000)  1.28
Co (0.0000, 0.0000, 0.5000)  1.21
Co (0.5000, 0.0000, 0.0000)  1.21

Record 25
Entry from the Alexandria database: Sr2CoGe after structural relaxation (GGA-PBE).

Output
Energy of formation from the pure elements in eV/f.u.: -0.46

a = 11.0304 Å, b = 11.0304 Å, c = 8.1162 Å
α = 47.19°, β = 47.19°, γ = 90.00°
Sites, in units of the cell vectors:
Sr (0.4396, 0.1250, 0.2500)
Sr (0.3104, 0.6250, 0.2500)
Sr (0.3750, 0.5604, 0.7500)
Sr (0.8750, 0.6896, 0.7500)
Ge (0.0000, 0.0000, 0.0000)
Ge (0.7500, 0.2500, 0.5000)
Co (0.5000, 0.5000, 0.0000)
Co (0.2500, 0.7500, 0.5000)

Record 26
Entry from the Alexandria database: Sr2CoTcGe after structural relaxation (GGA-PBE).

Output
Energy of formation from the pure elements in eV/f.u.: 4.18

a = 5.9463 Å, b = 4.6520 Å, c = 5.9463 Å
α = 90.00°, β = 90.00°, γ = 90.00°
Each line ends with the local moment (μB).
Sites, in units of the cell vectors:
Sr (0.0000, 0.0000, 0.5000)  -0.03
Sr (0.5000, 0.0000, 0.0000)  -0.02
Ge (0.0000, 0.0000, 0.0000)  -0.03
Co (0.5000, 0.5000, 0.5000)  2.00
Tc (0.0000, 0.5000, 0.0000)  1.41

Number 1: electronic total energy -5.481 eV per atom. Number 2: electronic total energy -3.681 eV per atom. Number 3: electronic total energy -4.543 eV per atom. Number 4: electronic total energy -5.607 eV per atom. Number 5: electronic total energy -4.700 eV per atom. Number 6: electronic total energy -5.391 eV per atom. Number 7: electronic total energy -4.514 eV per atom. Number 8: electronic total energy -4.623 eV per atom. Number 9: electronic total energy -5.122 eV per atom. Number 10: electronic total energy -5.015 eV per atom. Number 11: electronic total energy -5.696 eV per atom. Number 12: electronic total energy -4.869 eV per atom. Number 13: electronic total energy -4.635 eV per atom. Number 14: electronic total energy -6.644 eV per atom. Number 15: electronic total energy -4.321 eV per atom. Number 16: electronic total energy -3.717 eV per atom. Number 17: electronic total energy -5.339 eV per atom. Number 18: electronic total energy -6.565 eV per atom. Number 19: electronic total energy -4.726 eV per atom. Number 20: electronic total energy -5.040 eV per atom. Number 21: electronic total energy -5.102 eV per atom. Number 22: electronic total energy -3.113 eV per atom. Number 23: electronic total energy -5.090 eV per atom. Number 24: electronic total energy -3.371 eV per atom. Number 25: electronic total energy -3.886 eV per atom. Number 26: electronic total energy -4.254 eV per atom.